Material: Fe25Mo4
Method: DFT, SCAN
State: PBEsol geometry

Output
**Density of states at the Fermi level**: 27.25 states/eV/f.u.
**Formation energy**: 0.197 eV/atom
**Total magnetization**: 106.19 μB per cell

Unit cell a=8.5651 b=8.5651 c=8.5651 alpha=90.00 beta=90.00 gamma=90.00
Last column: nearest neighbours and their distance in Å.
Space group I-43m (No. 217)
Inequivalent atoms, fractional coordinates:
Fe: 0.0000 0.0000 0.0000  12 Fe 2.63, 4 Mo 2.69
Fe: 0.0333 0.3581 0.6419  5 Fe 2.26-2.50, 1 Mo 2.49
Fe: 0.0903 0.0903 0.7205  6 Fe 2.19-2.44
Mo: 0.1815 0.1815 0.1815  13 Fe 2.49-2.78

***

Material: PPtPbO2
Method: DFT, SCAN
State: PBEsol geometry

Output
**Electronic total energy**: -165.6 eV/cell
**Density of states at the Fermi level**: 3.60 states/eV/f.u.
**Total magnetization**: 0.00 μB per cell

Unit cell a=3.8827 b=3.8827 c=6.2384 alpha=90.00 beta=90.00 gamma=90.00
Last column: nearest neighbours and their distance in Å.
Space group P4/mmm (No. 123)
Inequivalent atoms, fractional coordinates:
P: 0.0000 0.0000 0.0000  4 Pt 2.75
Pt: 0.5000 0.5000 0.0000  4 P 2.75
Pb: 0.0000 0.0000 0.5000  4 O 1.94
O: 0.0000 0.5000 0.5000  2 Pb 1.94

***

Material: Te2HOsN
Method: DFT, SCAN
State: PBEsol geometry

Output
**Electronic total energy**: -154.9 eV/cell
**Density of states at the Fermi level**: 2.65 states/eV/f.u.
**Total magnetization**: 0.17 μB per cell

Unit cell a=5.3727 b=5.3727 c=3.6214 alpha=90.00 beta=90.00 gamma=90.00
Last column: nearest neighbours and their distance in Å.
Space group P4/mmm (No. 123)
Inequivalent atoms, fractional coordinates:
Te: 0.0000 0.5000 0.0000  2 Os 2.69
H: 0.0000 0.0000 0.5000  8 Te 3.24, 2 H 3.62
Os: 0.5000 0.5000 0.0000  2 N 1.81
N: 0.5000 0.5000 0.5000  2 Os 1.81

***

Material: BiPSeO2
Method: DFT, SCAN
State: PBEsol geometry

Output
**Electronic total energy**: -121.7 eV/cell
**Density of states at the Fermi level**: 0.84 states/eV/f.u.
**Total magnetization**: 0.00 μB per cell

Unit cell a=3.9842 b=3.9842 c=4.8502 alpha=90.00 beta=90.00 gamma=90.00
Last column: nearest neighbours and their distance in Å.
Space group P4/mmm (No. 123)
Inequivalent atoms, fractional coordinates:
Bi: 0.0000 0.0000 0.0000  4 P 2.82, 8 O 3.14
P: 0.5000 0.5000 0.0000  2 Se 2.43
Se: 0.5000 0.5000 0.5000  4 O 1.99
O: 0.0000 0.5000 0.5000  2 Se 1.99